PBE-GGA Ce6In2HRu, relaxed; symmetry = Fm-3m (225); raw total energy = -55.97 eV per cell; total moment = 3.8 μB/f.u.; DOS(E_F) = 24.6 states/eV/cell
1.0
0.0000 5.0443 5.0443
5.0443 0.0000 5.0443
5.0443 5.0443 0.0000
Ce In H Ru
6 2 1 1
direct
0.2348 0.2348 0.7652 Ce
0.2348 0.7652 0.2348 Ce
0.2348 0.7652 0.7652 Ce
0.7652 0.2348 0.2348 Ce
0.7652 0.2348 0.7652 Ce
0.7652 0.7652 0.2348 Ce
0.2500 0.2500 0.2500 In
0.7500 0.7500 0.7500 In
0.0000 0.0000 0.0000 H
0.5000 0.5000 0.5000 Ru